# 1
## PuZr2Cu (PBE)

Data for a relaxed PuZr2Cu crystal.

As for the crystal system: tetragonal. Its final energy is -0.326 Ha/atom. The calculation puts the formation energy at 0.0001 eV per atom. The volume comes out at 20.69 A^3/atom. As for the energy above the most stable polymorph in this dataset: 0.0 meV/atom.

The space group is P4/mmm (No. 123) and the conventional cell measures 3.240, 3.240 and 7.880 Å, with angles of 90.00, 90.00 and 90.00 degrees. Symmetry generates all atoms from Pu at (0.000, 0.000, 0.000), Zr at (0.500, 0.500, 0.285) and Cu at (0.000, 0.000, 0.500).

=====

# 2
## Ce2TmP3Rh12 (PBE)

Data for a relaxed Ce2TmP3Rh12 crystal.

As for the crystal system: trigonal. Its final energy is -0.265 Ha/atom. The calculation puts the formation energy at -0.5021 eV per atom. The volume comes out at 16.53 A^3/atom.

The space group is R-3m (No. 166, hexagonal axes) and the conventional cell measures 8.7416, 8.7416 and 13.4874 Å, with angles of 90.00, 90.00 and 120.00 degrees. Symmetry generates all atoms from Ce at (0.0000, 0.0000, 0.1152), Tm at (0.0000, 0.0000, 0.5000), P at (0.0000, 0.5000, 0.0000), Rh at (0.0252, 0.5126, 0.8295) and Rh at (0.0421, 0.5210, 0.3700).

=====

# 3
## La9DyTm2 (PBE)

Data for a relaxed La9DyTm2 crystal.

As for the crystal system: tetragonal. Its final energy is -0.177 Ha/atom. The calculation puts the formation energy at 0.0068 eV per atom. The volume comes out at 34.97 A^3/atom.

The space group is P4/mmm (No. 123) and the conventional cell measures 5.190, 5.190 and 15.576 Å, with angles of 90.00, 90.00 and 90.00 degrees. Symmetry generates all atoms from La at (0.000, 0.000, 0.000), La at (0.000, 0.000, 0.333), La at (0.000, 0.500, 0.167), La at (0.000, 0.500, 0.500), Dy at (0.500, 0.500, 0.000) and Tm at (0.500, 0.500, 0.334).

=====

# 4
## Zn2FeIr (PBE)

Data for a relaxed Zn2FeIr crystal.

As for the crystal system: orthorhombic. Its final energy is -0.185 Ha/atom. The calculation puts the formation energy at -0.0625 eV per atom. The volume comes out at 13.64 A^3/atom.

The space group is Immm (No. 71) and the conventional cell measures 2.977, 4.291 and 8.545 Å, with angles of 90.00, 90.00 and 90.00 degrees. Symmetry generates all atoms from Zn at (0.000, 0.000, 0.245), Fe at (0.000, 0.500, 0.500) and Ir at (0.000, 0.500, 0.000).

=====

# 5
## La5Sc (PBE)

Data for a relaxed La5Sc crystal.

As for the crystal system: cubic. Its final energy is -0.180 Ha/atom. The calculation puts the formation energy at 0.2655 eV per atom. The volume comes out at 35.16 A^3/atom. As for the energy above the most stable polymorph in this dataset: 228.2 meV/atom.

The space group is F-43m (No. 216) and the conventional cell measures 9.450, 9.450 and 9.450 Å, with angles of 90.00, 90.00 and 90.00 degrees. Symmetry generates all atoms from La at (0.000, 0.000, 0.000), La at (0.122, 0.122, 0.622) and Sc at (0.250, 0.250, 0.250).

=====

# 6
## Na5PdF8 (PBE)

Data for a relaxed Na5PdF8 crystal.

As for the crystal system: cubic. Its final energy is -0.149 Ha/atom. The uncorrected formation energy is -2905 kJ/mol of formula units. The volume comes out at 15.35 A^3/atom.

The space group is F-43m (No. 216) and the conventional cell measures 9.509, 9.509 and 9.509 Å, with angles of 90.00, 90.00 and 90.00 degrees. Symmetry generates all atoms from Na at (0.000, 0.000, 0.000), Na at (0.133, 0.133, 0.367), Pd at (0.250, 0.250, 0.750), F at (0.126, 0.126, 0.626) and F at (0.133, 0.133, 0.133).

=====

# 7
## Zr6BiAu (PBE)

Data for a relaxed Zr6BiAu crystal.

As for the crystal system: trigonal. Its final energy is -0.279 Ha/atom. The calculation puts the formation energy at -0.2881 eV per atom. The volume comes out at 22.14 A^3/atom. As for the energy above the most stable polymorph in this dataset: 0.0 meV/atom.

The space group is R-3 (No. 148, hexagonal axes) and the conventional cell measures 7.9367, 7.9367 and 9.7380 Å, with angles of 90.00, 90.00 and 120.00 degrees. Symmetry generates all atoms from Zr at (0.0045, 0.7525, 0.2526), Bi at (0.0000, 0.0000, 0.0000) and Au at (0.0000, 0.0000, 0.5000).

=====

# 8
## TiCd2Ni (PBE)

Data for a relaxed TiCd2Ni crystal.

As for the crystal system: tetragonal. Its final energy is -0.129 Ha/atom. The calculation puts the formation energy at 0.3725 eV per atom. The volume comes out at 19.20 A^3/atom. As for the energy above the most stable polymorph in this dataset: 279.7 meV/atom.

The space group is I-42d (No. 122) and the conventional cell measures 7.671, 7.671 and 5.221 Å, with angles of 90.00, 90.00 and 90.00 degrees. Symmetry generates all atoms from Ti at (0.000, 0.000, 0.000), Cd at (0.204, 0.250, 0.625) and Ni at (0.000, 0.000, 0.500).

=====

# 9
## RuS2Cl (PBE)

Data for a relaxed RuS2Cl crystal.

As for the crystal system: cubic. Its final energy is -0.150 Ha/atom. The uncorrected formation energy is 299 kJ/mol of formula units. The volume comes out at 15.06 A^3/atom. As for the energy above the most stable polymorph in this dataset: 963.2 meV/atom.

The space group is Fm-3m (No. 225) and the conventional cell measures 6.223, 6.223 and 6.223 Å, with angles of 90.00, 90.00 and 90.00 degrees. Symmetry generates all atoms from Ru at (0.000, 0.000, 0.000), S at (0.250, 0.250, 0.250) and Cl at (0.000, 0.000, 0.500).

=====

# 10
## PmNdN2 (PBE)

Data for a relaxed PmNdN2 crystal.

As for the crystal system: trigonal. Its final energy is -0.279 Ha/atom. The uncorrected formation energy is -408 kJ/mol of formula units. The volume comes out at 17.25 A^3/atom. As for the energy above the most stable polymorph in this dataset: 340.2 meV/atom.

The space group is P-3m1 (No. 164) and the conventional cell measures 3.5646, 3.5646 and 6.2706 Å, with angles of 90.00, 90.00 and 120.00 degrees. Symmetry generates all atoms from Pm at (0.0000, 0.0000, 0.0000), Nd at (0.0000, 0.0000, 0.5000) and N at (0.3333, 0.6667, 0.2477).

=====

# 11
## ErBeSi2Ir (PBE)

Data for a relaxed ErBeSi2Ir crystal.

As for the crystal system: tetragonal. Its final energy is -0.234 Ha/atom. The uncorrected formation energy is -367 kJ/mol of formula units. The volume comes out at 15.43 A^3/atom.

The space group is I-4m2 (No. 119) and the conventional cell measures 3.868, 3.868 and 10.316 Å, with angles of 90.00, 90.00 and 90.00 degrees. Symmetry generates all atoms from Er at (0.000, 0.000, 0.000), Be at (0.000, 0.500, 0.250), Si at (0.000, 0.000, 0.385) and Ir at (0.000, 0.500, 0.750).

=====

# 12
## Ho8GaTe3Se3 (PBE)

Data for a relaxed Ho8GaTe3Se3 crystal.

As for the crystal system: trigonal. Its final energy is -0.192 Ha/atom. The uncorrected formation energy is -1816 kJ/mol of formula units. The volume comes out at 27.63 A^3/atom.

The space group is R-3m (No. 166, hexagonal axes) and the conventional cell measures 8.2727, 8.2727 and 20.9778 Å, with angles of 90.00, 90.00 and 120.00 degrees. Symmetry generates all atoms from Ho at (0.0000, 0.0000, 0.2392), Ho at (0.0022, 0.5011, 0.2411), Ga at (0.0000, 0.0000, 0.5000), Te at (0.0000, 0.5000, 0.0000) and Se at (0.0000, 0.5000, 0.5000).

=====

# 13
## TaHS2 (PBE)

Data for a relaxed TaHS2 crystal.

As for the crystal system: tetragonal. Its final energy is -0.216 Ha/atom. The volume comes out at 16.36 A^3/atom. As for the energy above the most stable polymorph in this dataset: 880.0 meV/atom.

The space group is I-42d (No. 122) and the conventional cell measures 5.223, 5.223 and 9.598 Å, with angles of 90.00, 90.00 and 90.00 degrees. Symmetry generates all atoms from Ta at (0.000, 0.000, 0.000), H at (0.000, 0.000, 0.500) and S at (0.203, 0.250, 0.625).

=====

# 14
## LiHo2Hg3 (PBE)

Data for a relaxed LiHo2Hg3 crystal.

As for the crystal system: trigonal. Its final energy is -0.090 Ha/atom. The calculation puts the formation energy at -0.4543 eV per atom. The volume comes out at 23.49 A^3/atom. As for the energy above the most stable polymorph in this dataset: 0.0 meV/atom.

The space group is P-3m1 (No. 164) and the conventional cell measures 5.1092, 5.1092 and 12.4681 Å, with angles of 90.00, 90.00 and 120.00 degrees. Symmetry generates all atoms from Li at (0.3333, 0.6667, 0.1648), Ho at (0.0000, 0.0000, 0.0000), Ho at (0.0000, 0.0000, 0.5000), Ho at (0.3333, 0.6667, 0.6784), Hg at (0.0000, 0.0000, 0.2456), Hg at (0.3333, 0.6667, 0.4113) and Hg at (0.3333, 0.6667, 0.9244).

=====

# 15
## La3Nd3Th (PBE)

Data for a relaxed La3Nd3Th crystal.

As for the crystal system: monoclinic. Its final energy is -0.187 Ha/atom. The calculation puts the formation energy at 0.1263 eV per atom. The volume comes out at 36.41 A^3/atom.

The space group is P2_1/m (No. 11) and the conventional cell measures 11.621, 3.650 and 12.019 Å, with angles of 90.00, 90.74 and 90.00 degrees. Symmetry generates all atoms from La at (0.012, 0.250, 0.365), La at (0.053, 0.250, 0.893), La at (0.447, 0.250, 0.886), Nd at (0.249, 0.250, 0.685), Nd at (0.257, 0.250, 0.154), Nd at (0.260, 0.750, 0.430) and Th at (0.497, 0.750, 0.628).

=====

# 16
## Si2SnBiH (PBE)

Data for a relaxed Si2SnBiH crystal.

As for the crystal system: tetragonal. Its final energy is -0.140 Ha/atom. The volume comes out at 21.01 A^3/atom.

The space group is P4/mmm (No. 123) and the conventional cell measures 5.325, 5.325 and 3.704 Å, with angles of 90.00, 90.00 and 90.00 degrees. Symmetry generates all atoms from Si at (0.000, 0.500, 0.000), Sn at (0.000, 0.000, 0.000), Bi at (0.500, 0.500, 0.500) and H at (0.000, 0.000, 0.500).

=====

# 17
## Ac4AgPd3 (PBE)

Data for a relaxed Ac4AgPd3 crystal.

As for the crystal system: orthorhombic. Its final energy is -0.185 Ha/atom. The calculation puts the formation energy at -0.6661 eV per atom. The volume comes out at 29.39 A^3/atom.

The space group is Pmm2 (No. 25) and the conventional cell measures 4.157, 4.879 and 11.593 Å, with angles of 90.00, 90.00 and 90.00 degrees. Symmetry generates all atoms from Ac at (0.000, 0.000, 0.000), Ac at (0.000, 0.500, 0.262), Ac at (0.500, 0.000, 0.484), Ac at (0.500, 0.500, 0.765), Ag at (0.000, 0.000, 0.706), Pd at (0.000, 0.500, 0.543), Pd at (0.500, 0.000, 0.215) and Pd at (0.500, 0.500, 0.041).

=====

# 18
## SrTm2Cd (PBE)

Data for a relaxed SrTm2Cd crystal.

As for the crystal system: trigonal. Its final energy is -0.099 Ha/atom. The calculation puts the formation energy at 0.1990 eV per atom. The volume comes out at 33.56 A^3/atom. As for the energy above the most stable polymorph in this dataset: 206.4 meV/atom.

The space group is R-3m (No. 166, hexagonal axes) and the conventional cell measures 3.6153, 3.6153 and 35.5764 Å, with angles of 90.00, 90.00 and 120.00 degrees. Symmetry generates all atoms from Sr at (0.0000, 0.0000, 0.0000), Tm at (0.0000, 0.0000, 0.0995) and Cd at (0.0000, 0.0000, 0.5000).

=====

# 19
## HfSn2F8 (PBE)

Data for a relaxed HfSn2F8 crystal.

As for the crystal system: monoclinic. Its final energy is -0.220 Ha/atom. The uncorrected formation energy is -3186 kJ/mol of formula units. The volume comes out at 18.11 A^3/atom. As for the energy above the most stable polymorph in this dataset: 0.0 meV/atom.

The space group is C2/m (No. 12) and the conventional cell measures 10.323, 7.666 and 5.296 Å, with angles of 90.00, 108.12 and 90.00 degrees. Symmetry generates all atoms from Hf at (0.000, 0.000, 0.000), Sn at (0.149, 0.500, 0.294), F at (0.087, 0.500, 0.864), F at (0.113, 0.187, 0.235) and F at (0.131, 0.000, 0.789).

=====

# 20
## PmTmPdPb (PBE)

Data for a relaxed PmTmPdPb crystal.

As for the crystal system: cubic. Its final energy is -0.188 Ha/atom. The calculation puts the formation energy at -0.5939 eV per atom. The volume comes out at 25.52 A^3/atom.

The space group is F-43m (No. 216) and the conventional cell measures 7.419, 7.419 and 7.419 Å, with angles of 90.00, 90.00 and 90.00 degrees. Symmetry generates all atoms from Pm at (0.000, 0.000, 0.000), Tm at (0.000, 0.000, 0.500), Pd at (0.250, 0.250, 0.750) and Pb at (0.250, 0.250, 0.250).